(1)
A geometry-optimized KNa2Au2 structure, computed with PBEsol.

## Properties
The calculation puts the energy of formation from the pure elements at -0.13 eV per atom. Its total magnetic moment is 0.0 μB per formula unit. The polymorph energy (0 for the lowest one) is 0.033 eV per atom. Its space-group type is No. 127. For the mass density, the calculation gives 6.3 g/cm3.

a b c (Å): 8.3896 8.3896 3.5665
angles (deg): 90.00 90.00 90.00
Sites, in units of the cell vectors:
1 K 0.0000 0.0000 0.0000
2 K 0.5000 0.5000 0.0000
3 Na 0.1638 0.3362 0.5000
4 Na 0.3362 0.8362 0.5000
5 Na 0.6638 0.1638 0.5000
6 Na 0.8362 0.6638 0.5000
7 Au 0.1227 0.6227 0.0000
8 Au 0.3773 0.1227 0.0000
9 Au 0.6227 0.8773 0.0000
10 Au 0.8773 0.3773 0.0000

(2)
A geometry-optimized SrRu2W structure, computed with PBEsol.

## Properties
The calculation puts the energy of formation from the pure elements at 0.77 eV per atom. Its total magnetic moment is 0.0 μB per formula unit. Its space-group type is No. 44. For the mass density, the calculation gives 11.2 g/cm3.

a b c (Å): 2.8058 4.8311 10.3843
angles (deg): 90.00 90.00 90.00
Sites, in units of the cell vectors:
1 Sr 0.0000 0.0000 0.0000
2 Sr 0.5000 0.5000 0.5000
3 Ru 0.0000 0.0000 0.5122
4 Ru 0.0000 0.5000 0.2191
5 Ru 0.5000 0.0000 0.7191
6 Ru 0.5000 0.5000 0.0122
7 W 0.0000 0.5000 0.7891
8 W 0.5000 0.0000 0.2891

(3)
A geometry-optimized ZrAgCl2 structure, computed with PBEsol.

## Properties
The uncorrected formation energy comes out at -503.1 meV/atom. Its total magnetic moment is 0.0 μB per formula unit. The polymorph energy (0 for the lowest one) is 0.000 eV per atom. Its space-group type is No. 10. For the mass density, the calculation gives 5.7 g/cm3.

a b c (Å): 3.1960 4.3575 5.6369
angles (deg): 90.00 91.42 90.00
Sites, in units of the cell vectors:
1 Zr 0.0000 0.0000 0.0000
2 Ag 0.5000 0.0000 0.5000
3 Cl 0.1825 0.5000 0.7663
4 Cl 0.8175 0.5000 0.2337

(4)
A geometry-optimized TcTeH3 structure, computed with PBEsol.

## Properties
Its total magnetic moment is 0.0 μB per formula unit. The total energy is -4.490 eV per atom. Its space-group type is No. 221. For the mass density, the calculation gives 8.0 g/cm3.

a b c (Å): 3.6220 3.6220 3.6220
angles (deg): 90.00 90.00 90.00
Sites, in units of the cell vectors:
1 Tc 0.0000 0.0000 0.0000
2 Te 0.5000 0.5000 0.5000
3 H 0.0000 0.0000 0.5000
4 H 0.0000 0.5000 0.0000
5 H 0.5000 0.0000 0.0000

(5)
A geometry-optimized Al13Tl3S21 structure, computed with PBEsol.

## Properties
The uncorrected formation energy comes out at -998.3 meV/atom. Its total magnetic moment is 0.0 μB per formula unit. Its space-group type is No. 8. For the mass density, the calculation gives 3.3 g/cm3.

a b c (Å): 14.5454 14.5454 9.1974
angles (deg): 101.87 101.87 61.24
Sites, in units of the cell vectors:
1 Al 0.0000 0.0000 0.0000
2 Al 0.0053 0.4985 0.0080
3 Al 0.0529 0.3007 0.6502
4 Al 0.0577 0.8015 0.6567
5 Al 0.0722 0.5419 0.6730
6 Al 0.1924 0.4448 0.3336
7 Al 0.1920 0.6911 0.3428
8 Al 0.2375 0.7685 0.0110
9 Al 0.3007 0.0529 0.6502
10 Al 0.3068 0.3068 0.6723
11 Al 0.3077 0.8148 0.6751
12 Al 0.4404 0.9392 0.3402
13 Al 0.4448 0.1924 0.3336
14 Al 0.4527 0.6934 0.3423
15 Al 0.4985 0.0053 0.0080
16 Al 0.4980 0.7458 0.9964
17 Al 0.5419 0.0722 0.6730
18 Al 0.6911 0.1920 0.3428
19 Al 0.6934 0.4527 0.3423
20 Al 0.7442 0.9967 0.9987
21 Al 0.7458 0.4980 0.9964
22 Al 0.7685 0.2375 0.0110
23 Al 0.8015 0.0577 0.6567
24 Al 0.8148 0.3077 0.6751
25 Al 0.9392 0.4404 0.3402
26 Al 0.9967 0.7442 0.9987
27 Tl 0.0413 0.0413 0.4364
28 Tl 0.1763 0.1763 0.0972
29 Tl 0.4132 0.4132 0.1265
30 Tl 0.4825 0.4825 0.6776
31 Tl 0.7060 0.7060 0.7595
32 Tl 0.7680 0.7680 0.3308
33 S 0.0297 0.5401 0.4184
34 S 0.0327 0.7957 0.4122
35 S 0.0391 0.2793 0.4021
36 S 0.1665 0.9358 0.0988
37 S 0.1729 0.6703 0.0813
38 S 0.1740 0.4040 0.0864
39 S 0.2182 0.9866 0.7407
40 S 0.2269 0.2269 0.7548
41 S 0.2307 0.7285 0.7544
42 S 0.2406 0.4775 0.7560
43 S 0.2793 0.0391 0.4021
44 S 0.2807 0.2807 0.4146
45 S 0.2868 0.7846 0.4166
46 S 0.2911 0.5290 0.4055
47 S 0.4040 0.1740 0.0864
48 S 0.4144 0.6719 0.0823
49 S 0.4180 0.9225 0.0806
50 S 0.4775 0.2406 0.7560
51 S 0.4771 0.9772 0.7482
52 S 0.4782 0.7177 0.7477
53 S 0.5284 0.5284 0.3964
54 S 0.5290 0.2911 0.4055
55 S 0.5401 0.0297 0.4184
56 S 0.5453 0.7827 0.4182
57 S 0.6703 0.1729 0.0813
58 S 0.6719 0.4144 0.0823
59 S 0.6718 0.6718 0.0662
60 S 0.6724 0.9110 0.0646
61 S 0.7177 0.4782 0.7477
62 S 0.7222 0.9786 0.7414
63 S 0.7285 0.2307 0.7544
64 S 0.7827 0.5453 0.4182
65 S 0.7846 0.2868 0.4166
66 S 0.7957 0.0327 0.4122
67 S 0.9110 0.6724 0.0646
68 S 0.9201 0.9201 0.0836
69 S 0.9225 0.4180 0.0806
70 S 0.9358 0.1665 0.0988
71 S 0.9772 0.4771 0.7482
72 S 0.9777 0.9777 0.7441
73 S 0.9786 0.7222 0.7414
74 S 0.9866 0.2182 0.7407

(6)
A geometry-optimized SiTe2 structure, computed with PBEsol.

## Properties
The uncorrected formation energy comes out at 341.0 meV/atom. Its total magnetic moment is 0.0 μB per formula unit. Its space-group type is No. 139. For the mass density, the calculation gives 6.7 g/cm3.

a b c (Å): 3.5853 3.5853 10.9683
angles (deg): 90.00 90.00 90.00
Sites, in units of the cell vectors:
1 Si 0.0000 0.0000 0.0000
2 Si 0.5000 0.5000 0.5000
3 Te 0.0000 0.0000 0.3528
4 Te 0.0000 0.0000 0.6472
5 Te 0.5000 0.5000 0.1472
6 Te 0.5000 0.5000 0.8528